4
Lattice="3.048 0.000 0.000 0.000 3.048 0.000 0.000 0.000 7.469" Properties=species:S:1:pos:R:3 comment="BaCo2Ir (meta-GGA SCAN, single point on PBEsol structure)" density_g_cm3=10.71 magmom_total_mub_per_atom=1.07 e_tot_ev_per_atom=-35.79 sg="No. 99" formation_energy_ev_per_atom=0.523 dos_ef_per_ev_cell=3.92 volume_a3_per_cell=69.4 pbc="T T T"
Ba 0.000 0.000 0.000
Co 0.000 0.000 3.591
Co 1.524 1.524 2.543
Ir 1.524 1.524 5.012